This record from Alexandria describes a relaxed structure of AlCoRu2F. The functional is PBE+U.

Unit cell a=4.783 b=3.443 c=4.783 alpha=90.00 beta=90.00 gamma=90.00
Positions (direct):
Ru1 0.000 0.000 0.500
Ru2 0.500 0.000 0.000
Co1 0.500 0.500 0.500
Al1 0.000 0.000 0.000
F1 0.000 0.500 0.000

Values from the calculation:
ρ = 6.47 g cm⁻³
N(E_F) = 7.97 states/eV/cell
VASP energy = -5.340 eV per atom
Space group = No. 123
Total magnetization = 1.071 μB/atom